No. 1
DFT (PBEsol) results for a geometry-optimized TaZnRh2 structure.

For the formation energy from the elements, the calculation gives -9 kJ/mol of atoms. As for the crystal system: trigonal. The total moment is 0.0 μB/f.u.

It has space group R3m (No. 160, hexagonal axes), with a = 2.7654 Å, b = 2.7654 Å, c = 26.4486 Å, α = 90.00°, β = 90.00° and γ = 120.00°. Symmetry generates all atoms from Ta at (0.0000, 0.0000, 0.0000), Zn at (0.0000, 0.0000, 0.7563), Rh at (0.0000, 0.0000, 0.2510) and Rh at (0.0000, 0.0000, 0.4997).

---

No. 2
DFT (PBEsol) results for a geometry-optimized TaZnRh3 structure.

For the formation energy from the elements, the calculation gives 81 kJ/mol of atoms. As for the crystal system: cubic. The total moment is 0.0 μB/f.u.

It has space group Pm-3m (No. 221), with a = 4.350 Å, b = 4.350 Å, c = 4.350 Å, α = 90.00°, β = 90.00° and γ = 90.00°. Symmetry generates all atoms from Ta at (0.000, 0.000, 0.000), Zn at (0.500, 0.500, 0.500) and Rh at (0.000, 0.500, 0.500).

---

No. 3
DFT (PBEsol) results for a geometry-optimized TaZnRh2 structure.

For the formation energy from the elements, the calculation gives -46 kJ/mol of atoms. As for the crystal system: orthorhombic. The total moment is 0.0 μB/f.u.

It has space group Imm2 (No. 44), with a = 3.661 Å, b = 3.704 Å, c = 8.389 Å, α = 90.00°, β = 90.00° and γ = 90.00°. Symmetry generates all atoms from Ta at (0.000, 0.000, 0.000), Zn at (0.000, 0.500, 0.750), Rh at (0.000, 0.000, 0.500) and Rh at (0.000, 0.500, 0.251).

---

No. 4
DFT (PBEsol) results for a geometry-optimized TaZnRh2 structure.

For the formation energy from the elements, the calculation gives -52 kJ/mol of atoms. As for the crystal system: orthorhombic. The total moment is 0.0 μB/f.u.

It has space group Pmmm (No. 47), with a = 2.899 Å, b = 3.437 Å, c = 5.756 Å, α = 90.00°, β = 90.00° and γ = 90.00°. Symmetry generates all atoms from Ta at (0.000, 0.000, 0.000), Zn at (0.000, 0.000, 0.500) and Rh at (0.500, 0.500, 0.257).

---

No. 5
DFT (PBEsol) results for a geometry-optimized Ta2ZnRh structure.

For the formation energy from the elements, the calculation gives -16 kJ/mol of atoms. As for the crystal system: monoclinic. The total moment is 0.0 μB/f.u.

It has space group Cm (No. 8), with a = 10.062 Å, b = 2.891 Å, c = 4.727 Å, α = 90.00°, β = 115.51° and γ = 90.00°. Symmetry generates all atoms from Ta at (0.000, 0.000, 0.000), Ta at (0.240, 0.000, 0.855), Zn at (0.482, 0.000, 0.479) and Rh at (0.245, 0.500, 0.365).

---

No. 6
DFT (PBEsol) results for a geometry-optimized Zr2TaRh structure.

The energy above the most stable polymorph in this dataset comes out at 0 meV/atom. For the formation energy from the elements, the calculation gives -36 kJ/mol of atoms. As for the crystal system: tetragonal. The total moment is 0.0 μB/f.u.

It has space group P4/mmm (No. 123), with a = 3.277 Å, b = 3.277 Å, c = 6.825 Å, α = 90.00°, β = 90.00° and γ = 90.00°. Symmetry generates all atoms from Zr at (0.000, 0.000, 0.236), Ta at (0.500, 0.500, 0.500) and Rh at (0.500, 0.500, 0.000).

---

No. 7
DFT (PBEsol) results for a geometry-optimized Zr2TaRh structure.

The energy above the most stable polymorph in this dataset comes out at 86 meV/atom. For the formation energy from the elements, the calculation gives -27 kJ/mol of atoms. As for the crystal system: tetragonal. The total moment is 0.0 μB/f.u.

It has space group P4mm (No. 99), with a = 3.209 Å, b = 3.209 Å, c = 7.192 Å, α = 90.00°, β = 90.00° and γ = 90.00°. Symmetry generates all atoms from Zr at (0.000, 0.000, 0.000), Zr at (0.500, 0.500, 0.288), Ta at (0.500, 0.500, 0.733) and Rh at (0.000, 0.000, 0.528).

---

No. 8
DFT (PBEsol) results for a geometry-optimized ZrTaRh2 structure.

For the formation energy from the elements, the calculation gives -56 kJ/mol of atoms. As for the crystal system: monoclinic. The total moment is 0.0 μB/f.u.

It has space group Pm (No. 6), with a = 2.969 Å, b = 4.480 Å, c = 5.047 Å, α = 90.00°, β = 101.33° and γ = 90.00°. Symmetry generates all atoms from Zr at (0.000, 0.000, 0.000), Ta at (0.216, 0.500, 0.582), Rh at (0.540, 0.500, 0.105) and Rh at (0.668, 0.000, 0.476).

---

What is the formula in the first record? TaZnRh2